1.
VASP calculation (PBE) on a relaxed SmGdZn crystal.

a b c (Å): 5.010 5.010 5.010
angles (deg): 60.00 60.00 60.00
Fractional positions:
Sm 0.000 0.000 0.000
Gd 0.500 0.500 0.500
Zn 0.750 0.750 0.750

Calculated values
ΔH_f (0 K) ... 0.025 eV per atom
M_tot ... 0.03 μB/atom
Final energy ... -3.519 eV per atom

---

2.
VASP calculation (PBE) on a relaxed SmGdZr crystal.

a b c (Å): 5.220 5.220 5.220
angles (deg): 60.00 60.00 60.00
Fractional positions:
Sm 0.000 0.000 0.000
Gd 0.750 0.750 0.750
Zr 0.250 0.250 0.250

Calculated values
ΔH_f (0 K) ... 0.961 eV per atom
M_tot ... 0.14 μB/atom
Final energy ... -5.009 eV per atom

---

3.
VASP calculation (PBE) on a relaxed Gd11Sn10 crystal.

a b c (Å): 11.940 11.940 11.940
angles (deg): 121.22 121.22 87.91
Fractional positions:
Gd 0.060 0.311 0.749
Gd 0.102 0.433 0.331
Gd 0.102 0.771 0.669
Gd 0.166 0.166 0.000
Gd 0.229 0.898 0.331
Gd 0.311 0.060 0.749
Gd 0.311 0.562 0.251
Gd 0.326 0.326 0.652
Gd 0.326 0.674 0.000
Gd 0.433 0.102 0.331
Gd 0.438 0.689 0.749
Gd 0.562 0.311 0.251
Gd 0.567 0.898 0.669
Gd 0.674 0.326 0.000
Gd 0.674 0.674 0.348
Gd 0.689 0.438 0.749
Gd 0.689 0.940 0.251
Gd 0.771 0.102 0.669
Gd 0.834 0.834 0.000
Gd 0.898 0.229 0.331
Gd 0.898 0.567 0.669
Gd 0.940 0.689 0.251
Sn 0.030 0.030 0.412
Sn 0.030 0.618 0.000
Sn 0.129 0.129 0.258
Sn 0.129 0.871 0.000
Sn 0.144 0.500 0.644
Sn 0.250 0.750 0.500
Sn 0.382 0.382 0.412
Sn 0.382 0.970 0.000
Sn 0.389 0.389 0.000
Sn 0.500 0.144 0.644
Sn 0.500 0.856 0.356
Sn 0.611 0.611 0.000
Sn 0.618 0.030 0.000
Sn 0.618 0.618 0.588
Sn 0.750 0.250 0.500
Sn 0.856 0.500 0.356
Sn 0.871 0.129 0.000
Sn 0.871 0.871 0.742
Sn 0.970 0.382 0.000
Sn 0.970 0.970 0.588

Calculated values
M_tot ... 0.01 μB/atom
Final energy ... -5.102 eV per atom

---

4.
VASP calculation (PBE) on a relaxed Gd2Sn crystal.

a b c (Å): 6.277 6.277 6.277
angles (deg): 60.00 60.00 60.00
Fractional positions:
Gd 0.000 0.000 0.000
Gd 0.000 0.000 0.500
Gd 0.000 0.500 0.000
Gd 0.500 0.000 0.000
Sn 0.375 0.375 0.375
Sn 0.625 0.625 0.625

Calculated values
M_tot ... 0.00 μB/atom
Final energy ... -4.429 eV per atom

---

5.
VASP calculation (PBE) on a relaxed SrGdSn2 crystal.

a b c (Å): 3.483 7.192 7.192
angles (deg): 52.93 90.00 90.00
Fractional positions:
Sr 0.000 0.000 0.000
Gd 0.000 0.710 0.710
Sn 0.000 0.255 0.255
Sn 0.000 0.476 0.476

Calculated values
M_tot ... 0.05 μB/atom
Final energy ... -3.538 eV per atom

---

6.
VASP calculation (PBE) on a relaxed SrGdSn2 crystal.

a b c (Å): 14.573 14.573 4.422
angles (deg): 90.00 90.00 162.68
Fractional positions:
Sr 0.156 0.844 0.750
Sr 0.844 0.156 0.250
Gd 0.450 0.550 0.750
Gd 0.550 0.450 0.250
Sn 0.041 0.959 0.750
Sn 0.245 0.755 0.250
Sn 0.755 0.245 0.750
Sn 0.959 0.041 0.250

Calculated values
M_tot ... 0.00 μB/atom
Final energy ... -3.991 eV per atom

---

7.
VASP calculation (PBE) on a relaxed TbGdZn2Sn2 crystal.

a b c (Å): 4.517 4.517 15.903
angles (deg): 90.00 90.00 120.00
Fractional positions:
Tb 0.000 0.000 0.250
Tb 0.000 0.000 0.750
Gd 0.000 0.000 0.000
Gd 0.000 0.000 0.500
Zn 0.333 0.667 0.159
Zn 0.333 0.667 0.341
Zn 0.667 0.333 0.659
Zn 0.667 0.333 0.841
Sn 0.333 0.667 0.614
Sn 0.333 0.667 0.886
Sn 0.667 0.333 0.114
Sn 0.667 0.333 0.386

Calculated values
M_tot ... 0.00 μB/atom
Final energy ... -3.912 eV per atom

---

8.
VASP calculation (PBE) on a relaxed GdTcSn crystal.

a b c (Å): 4.829 4.829 4.829
angles (deg): 60.00 60.00 60.00
Fractional positions:
Gd 0.000 0.000 0.000
Tc 0.250 0.250 0.250
Sn 0.750 0.750 0.750

Calculated values
M_tot ... 0.34 μB/atom
Final energy ... -5.480 eV per atom

---

9.
VASP calculation (PBE) on a relaxed GdSn6Te2 crystal.

a b c (Å): 4.685 4.685 14.717
angles (deg): 90.00 90.00 90.00
Fractional positions:
Gd 0.000 0.000 0.000
Sn 0.000 0.500 0.159
Sn 0.000 0.500 0.841
Sn 0.500 0.000 0.159
Sn 0.500 0.000 0.841
Sn 0.500 0.500 0.000
Sn 0.500 0.500 0.500
Te 0.500 0.500 0.303
Te 0.500 0.500 0.697

Calculated values
M_tot ... 0.00 μB/atom
Final energy ... -3.961 eV per atom

---

10.
VASP calculation (PBE) on a relaxed GdTlSnTe3 crystal.

a b c (Å): 7.969 7.969 12.056
angles (deg): 90.00 90.00 146.58
Fractional positions:
Gd 0.000 0.000 0.000
Gd 0.000 0.000 0.500
Tl 0.258 0.742 0.750
Tl 0.742 0.258 0.250
Sn 0.447 0.553 0.250
Sn 0.553 0.447 0.750
Te 0.078 0.922 0.250
Te 0.359 0.641 0.027
Te 0.359 0.641 0.473
Te 0.641 0.359 0.527
Te 0.641 0.359 0.973
Te 0.922 0.078 0.750

Calculated values
M_tot ... 0.00 μB/atom
Final energy ... -4.026 eV per atom

---

11.
VASP calculation (PBE) on a relaxed GdTlSn crystal.

a b c (Å): 5.168 5.168 5.168
angles (deg): 60.00 60.00 60.00
Fractional positions:
Gd 0.000 0.000 0.000
Tl 0.250 0.250 0.250
Sn 0.750 0.750 0.750

Calculated values
M_tot ... 0.00 μB/atom
Final energy ... -3.862 eV per atom

---

12.
VASP calculation (PBE) on a relaxed Gd3Tl5Sn2 crystal.

a b c (Å): 12.403 12.403 4.768
angles (deg): 90.00 90.00 158.45
Fractional positions:
Gd 0.000 0.000 0.000
Gd 0.189 0.811 0.000
Gd 0.811 0.189 0.000
Tl 0.100 0.900 0.500
Tl 0.294 0.706 0.500
Tl 0.500 0.500 0.500
Tl 0.706 0.294 0.500
Tl 0.900 0.100 0.500
Sn 0.402 0.598 0.000
Sn 0.598 0.402 0.000

Calculated values
M_tot ... 0.00 μB/atom
Final energy ... -3.728 eV per atom

---

13.
VASP calculation (PBE) on a relaxed Gd3Tl5Sn2 crystal.

a b c (Å): 12.372 12.372 4.673
angles (deg): 90.00 90.00 157.88
Fractional positions:
Gd 0.000 0.000 0.000
Gd 0.189 0.811 0.000
Gd 0.811 0.189 0.000
Tl 0.294 0.706 0.500
Tl 0.401 0.599 0.000
Tl 0.500 0.500 0.500
Tl 0.599 0.401 0.000
Tl 0.706 0.294 0.500
Sn 0.098 0.902 0.500
Sn 0.902 0.098 0.500

Calculated values
M_tot ... 0.00 μB/atom
Final energy ... -3.726 eV per atom

---

14.
VASP calculation (PBE) on a relaxed GdTlSn crystal.

a b c (Å): 5.169 5.169 5.169
angles (deg): 60.00 60.00 60.00
Fractional positions:
Gd 0.000 0.000 0.000
Tl 0.500 0.500 0.500
Sn 0.250 0.250 0.250

Calculated values
M_tot ... 0.01 μB/atom
Final energy ... -3.762 eV per atom

---

15.
VASP calculation (PBE) on a relaxed Gd3Tl6Sn crystal.

a b c (Å): 12.556 12.556 4.699
angles (deg): 90.00 90.00 158.51
Fractional positions:
Gd 0.000 0.000 0.000
Gd 0.191 0.809 0.000
Gd 0.809 0.191 0.000
Tl 0.099 0.901 0.500
Tl 0.293 0.707 0.500
Tl 0.401 0.599 0.000
Tl 0.599 0.401 0.000
Tl 0.707 0.293 0.500
Tl 0.901 0.099 0.500
Sn 0.500 0.500 0.500

Calculated values
M_tot ... 0.00 μB/atom
Final energy ... -3.535 eV per atom

---

16.
VASP calculation (PBE) on a relaxed Gd3Tl5Sn2 crystal.

a b c (Å): 12.657 12.657 4.686
angles (deg): 90.00 90.00 159.00
Fractional positions:
Gd 0.000 0.000 0.000
Gd 0.191 0.809 0.000
Gd 0.809 0.191 0.000
Tl 0.099 0.901 0.500
Tl 0.403 0.597 0.000
Tl 0.500 0.500 0.500
Tl 0.597 0.403 0.000
Tl 0.901 0.099 0.500
Sn 0.293 0.707 0.500
Sn 0.707 0.293 0.500

Calculated values
M_tot ... 0.00 μB/atom
Final energy ... -3.765 eV per atom

---

17.
VASP calculation (PBE) on a relaxed Gd3TlSn6 crystal.

a b c (Å): 12.758 12.758 4.645
angles (deg): 90.00 90.00 159.40
Fractional positions:
Gd 0.000 0.000 0.000
Gd 0.187 0.813 0.000
Gd 0.813 0.187 0.000
Tl 0.500 0.500 0.500
Sn 0.098 0.902 0.500
Sn 0.292 0.708 0.500
Sn 0.403 0.597 0.000
Sn 0.597 0.403 0.000
Sn 0.708 0.292 0.500
Sn 0.902 0.098 0.500

Calculated values
M_tot ... 0.00 μB/atom
Final energy ... -4.552 eV per atom

---

18.
VASP calculation (PBE) on a relaxed GdTmSn2 crystal.

a b c (Å): 3.330 6.879 6.879
angles (deg): 53.58 90.00 90.00
Fractional positions:
Gd 0.000 0.000 0.000
Tm 0.000 0.721 0.721
Sn 0.000 0.247 0.247
Sn 0.000 0.478 0.478

Calculated values
M_tot ... 0.00 μB/atom
Final energy ... -4.195 eV per atom

---

19.
VASP calculation (PBE) on a relaxed GdTmZn2Sn2 crystal.

a b c (Å): 4.514 4.514 15.739
angles (deg): 90.00 90.00 120.00
Fractional positions:
Gd 0.000 0.000 0.250
Gd 0.000 0.000 0.750
Tm 0.000 0.000 0.000
Tm 0.000 0.000 0.500
Zn 0.333 0.667 0.159
Zn 0.333 0.667 0.341
Zn 0.667 0.333 0.659
Zn 0.667 0.333 0.841
Sn 0.333 0.667 0.611
Sn 0.333 0.667 0.889
Sn 0.667 0.333 0.111
Sn 0.667 0.333 0.389

Calculated values
M_tot ... 0.00 μB/atom
Final energy ... -3.844 eV per atom

---

20.
VASP calculation (PBE) on a relaxed GdTmZn2Sn2 crystal.

a b c (Å): 4.503 4.503 15.750
angles (deg): 90.00 90.00 120.00
Fractional positions:
Gd 0.000 0.000 0.000
Gd 0.000 0.000 0.500
Tm 0.000 0.000 0.250
Tm 0.000 0.000 0.750
Zn 0.333 0.667 0.161
Zn 0.333 0.667 0.339
Zn 0.667 0.333 0.661
Zn 0.667 0.333 0.839
Sn 0.333 0.667 0.615
Sn 0.333 0.667 0.885
Sn 0.667 0.333 0.115
Sn 0.667 0.333 0.385

Calculated values
M_tot ... 0.00 μB/atom
Final energy ... -3.855 eV per atom